This record from the Alexandria database describes a relaxed Nd6Os2NCl3 crystal. The functional is GGA-PBE.

Values from the calculation:
**Spin magnetization**: 0.000 μB per atom
**Space-group type**: C2/m, No. 12
**VASP energy**: -6.397 eV per atom
**Fermi-level density of states**: 0.774 states/eV per atom

Cell: 6.929 6.929 7.794 Å, 98.43 98.43 120.05°
Fractional coordinates of all 12 atoms:
Nd 0.063 0.372 0.196
Nd 0.253 0.253 0.805
Nd 0.372 0.063 0.196
Nd 0.628 0.937 0.804
Nd 0.747 0.747 0.195
Nd 0.937 0.628 0.804
Os 0.331 0.669 0.000
Os 0.669 0.331 0.000
N 0.000 0.000 0.000
Cl 0.161 0.839 0.500
Cl 0.500 0.500 0.500
Cl 0.839 0.161 0.500